# 1
Computed, not measured: BiMoSN2 after structural relaxation at the GGA-PBE level of DFT.

a = 4.244 Å, b = 4.244 Å, c = 5.362 Å
α = 90.00°, β = 90.00°, γ = 90.00°
Atoms (fractional coordinates):
N 0.500 0.000 0.000
S 0.000 0.000 0.500
Mo 0.500 0.500 0.500
N 0.000 0.500 0.000
Bi 0.000 0.000 0.000

Summary:
Raw formation energy in kJ/mol of atoms: 184.62
Symmetry: P4/mmm (123)
Total moment in μB/atom: 0.50


# 2
Computed, not measured: BiMoSN2 after structural relaxation at the GGA-PBE level of DFT.

a = 4.013 Å, b = 4.013 Å, c = 4.938 Å
α = 90.00°, β = 90.00°, γ = 90.00°
Atoms (fractional coordinates):
S 0.000 0.000 0.500
N 0.500 0.000 0.000
Bi 0.500 0.500 0.500
N 0.000 0.500 0.000
Mo 0.000 0.000 0.000

Summary:
Raw formation energy in kJ/mol of atoms: 36.05
Symmetry: P4/mmm (123)
Total moment in μB/atom: 0.04


# 3
Computed, not measured: BiMoSe2N after structural relaxation at the GGA-PBE level of DFT.

a = 5.511 Å, b = 5.511 Å, c = 4.209 Å
α = 90.00°, β = 90.00°, γ = 90.00°
Atoms (fractional coordinates):
Se 0.500 0.000 0.000
Bi 0.000 0.000 0.000
N 0.000 0.000 0.500
Se 0.000 0.500 0.000
Mo 0.500 0.500 0.500

Summary:
Raw formation energy in kJ/mol of atoms: 146.02
Symmetry: P4/mmm (123)
Total moment in μB/atom: 0.93


# 4
Computed, not measured: BiMo2SeN after structural relaxation at the GGA-PBE level of DFT.

a = 4.045 Å, b = 6.166 Å, c = 4.045 Å
α = 90.00°, β = 90.00°, γ = 90.00°
Atoms (fractional coordinates):
Mo 0.000 0.000 0.500
Se 0.000 0.500 0.000
N 0.000 0.000 0.000
Mo 0.500 0.000 0.000
Bi 0.500 0.500 0.500

Summary:
Raw formation energy in kJ/mol of atoms: 59.84
Symmetry: P4/mmm (123)
Total moment in μB/atom: 0.37


# 5
Computed, not measured: BiMoSe2N after structural relaxation at the GGA-PBE level of DFT.

a = 5.194 Å, b = 5.194 Å, c = 3.814 Å
α = 90.00°, β = 90.00°, γ = 90.00°
Atoms (fractional coordinates):
Se 0.000 0.500 0.000
Mo 0.000 0.000 0.000
Bi 0.500 0.500 0.500
N 0.000 0.000 0.500
Se 0.500 0.000 0.000

Summary:
Raw formation energy in kJ/mol of atoms: 7.35
Symmetry: P4/mmm (123)
Total moment in μB/atom: 0.00


# 6
Computed, not measured: SiBi2MoN after structural relaxation at the GGA-PBE level of DFT.

a = 5.286 Å, b = 4.576 Å, c = 5.286 Å
α = 90.00°, β = 90.00°, γ = 90.00°
Atoms (fractional coordinates):
Mo 0.000 0.500 0.000
N 0.500 0.500 0.500
Si 0.000 0.000 0.000
Bi 0.000 0.000 0.500
Bi 0.500 0.000 0.000

Summary:
Raw formation energy in kJ/mol of atoms: 192.44
Symmetry: P4/mmm (123)
Total moment in μB/atom: 0.00


# 7
Computed, not measured: TaBi2MoN after structural relaxation at the GGA-PBE level of DFT.

a = 5.554 Å, b = 3.751 Å, c = 5.554 Å
α = 90.00°, β = 90.00°, γ = 90.00°
Atoms (fractional coordinates):
Ta 0.500 0.500 0.500
Mo 0.000 0.000 0.000
Bi 0.500 0.000 0.000
Bi 0.000 0.000 0.500
N 0.000 0.500 0.000

Summary:
Raw formation energy in kJ/mol of atoms: 98.45
Symmetry: P4/mmm (123)
Total moment in μB/atom: 0.34


# 8
Computed, not measured: TcBiMo2N after structural relaxation at the GGA-PBE level of DFT.

a = 4.969 Å, b = 4.969 Å, c = 3.771 Å
α = 90.00°, β = 90.00°, γ = 90.00°
Atoms (fractional coordinates):
Mo 0.500 0.000 0.000
Tc 0.000 0.000 0.000
N 0.000 0.000 0.500
Bi 0.500 0.500 0.500
Mo 0.000 0.500 0.000

Summary:
Raw formation energy in kJ/mol of atoms: 114.03
Symmetry: P4/mmm (123)
Total moment in μB/atom: 0.27


# 9
Computed, not measured: BiMoWN2 after structural relaxation at the GGA-PBE level of DFT.

a = 3.991 Å, b = 5.326 Å, c = 3.991 Å
α = 90.00°, β = 90.00°, γ = 90.00°
Atoms (fractional coordinates):
Bi 0.500 0.500 0.500
N 0.000 0.000 0.500
N 0.500 0.000 0.000
W 0.000 0.500 0.000
Mo 0.000 0.000 0.000

Summary:
Raw formation energy in kJ/mol of atoms: 114.82
Symmetry: P4/mmm (123)
Total moment in μB/atom: 0.16


# 10
Computed, not measured: Na2BiMo2 after structural relaxation at the GGA-PBE level of DFT.

a = 4.109 Å, b = 4.109 Å, c = 7.951 Å
α = 75.03°, β = 75.03°, γ = 90.00°
Atoms (fractional coordinates):
Na 0.250 0.750 0.500
Na 0.750 0.250 0.500
Mo 0.572 0.572 0.856
Mo 0.428 0.428 0.144
Bi 0.000 0.000 0.000

Summary:
Symmetry: I4/mmm (139)
ΔH_f (0 K) in kcal/mol of atoms: 23.1
Total moment in μB/atom: 0.00


# 11
Computed, not measured: Na2BiMo after structural relaxation at the GGA-PBE level of DFT.

a = 8.998 Å, b = 8.998 Å, c = 6.958 Å
α = 49.71°, β = 49.71°, γ = 90.00°
Atoms (fractional coordinates):
Na 0.875 0.873 0.750
Na 0.127 0.625 0.250
Bi 0.000 0.000 0.000
Mo 0.250 0.750 0.500
Mo 0.500 0.500 0.000
Na 0.623 0.125 0.250
Bi 0.750 0.250 0.500
Na 0.375 0.377 0.750

Summary:
Symmetry: I-42d (122)
ΔH_f (0 K) in kcal/mol of atoms: 19.2
Total moment in μB/atom: 0.89


# 12
Computed, not measured: Na3BiMo after structural relaxation at the GGA-PBE level of DFT.

a = 5.968 Å, b = 5.968 Å, c = 5.968 Å
α = 90.00°, β = 90.00°, γ = 90.00°
Atoms (fractional coordinates):
Na 0.000 0.000 0.500
Na 0.500 0.000 0.000
Bi 0.000 0.000 0.000
Na 0.000 0.500 0.000
Mo 0.500 0.500 0.500

Summary:
Symmetry: Pm-3m (221)
ΔH_f (0 K) in kcal/mol of atoms: 21.4
Total moment in μB/atom: 1.20